Entry 1:
Pr5Ho4Er2 | the Alexandria database | PBE | relaxed; crystal system = orthorhombic; Fermi-level density of states = 18.1 states/eV/f.u.; E above lowest polymorph = 119 meV per atom; calculated formation energy = 0.1972 eV per atom; V = 383.68 Å³/cell; space-group type = Immm
1.0
-1.767 4.588 11.833
1.767 -4.588 11.833
1.767 4.588 -11.833
Pr Ho Er
5 4 2
Cartesian
0.000 0.000 0.000
1.767 1.849 -3.480
1.767 1.849 3.480
0.000 2.738 8.354
0.000 2.738 15.313
1.767 2.882 0.000
1.767 0.000 9.548
0.000 4.588 2.286
0.000 1.705 11.833
1.767 0.000 6.390
0.000 4.588 5.443



Entry 2:
Ho2Tm5Te4 | the Alexandria database | PBE | relaxed; crystal system = monoclinic; Fermi-level density of states = 9.6 states/eV/f.u.; V = 362.57 Å³/cell; space-group type = C2/m; energy relative to the elements, uncorrected = -0.616 eV/atom
1.0
12.645 -2.002 0.000
12.645 2.002 0.000
-0.191 0.000 7.160
Ho Tm Te
2 5 4
Cartesian
5.875 0.000 2.175
19.224 0.000 4.985
-0.096 0.000 3.580
8.623 0.000 0.039
9.031 0.000 3.535
16.068 0.000 3.625
16.476 0.000 7.121
2.367 0.000 1.624
11.353 0.000 1.679
13.746 0.000 5.480
22.732 0.000 5.535



Entry 3:
SrAcCu | the Alexandria database | PBE | relaxed; crystal system = monoclinic; Fermi-level density of states = 3.5 states/eV/f.u.; E above lowest polymorph = 0 meV per atom; calculated formation energy = -0.0726 eV per atom; V = 221.16 Å³/cell; space-group type = P2_1/m
1.0
4.208 0.000 0.000
0.000 4.567 0.000
-2.094 0.000 11.507
Sr Ac Cu
2 2 2
Cartesian
0.003 1.142 4.337
2.112 3.425 7.170
0.011 1.142 9.907
2.103 3.425 1.600
0.001 1.142 0.732
2.113 3.425 10.775



Entry 4:
Be2TlFe | the Alexandria database | PBE | relaxed; crystal system = trigonal; Fermi-level density of states = 2.5 states/eV/f.u.; E above lowest polymorph = 353 meV per atom; calculated formation energy = 0.7044 eV per atom; V = 176.66 Å³/cell; space-group type = R-3m
1.0
2.920 0.000 0.000
-1.460 2.529 0.000
0.000 0.000 23.921
Be Tl Fe
6 3 3
Cartesian
0.000 0.000 5.644
0.000 0.000 18.278
0.000 1.686 10.304
0.000 1.686 21.591
1.460 0.843 2.330
1.460 0.843 13.618
0.000 0.000 0.000
0.000 1.686 15.948
1.460 0.843 7.974
0.000 0.000 11.961
0.000 1.686 3.987
1.460 0.843 19.934



Entry 5:
ZnNi2AsPt | the Alexandria database | PBE | relaxed; crystal system = tetragonal; Fermi-level density of states = 9.8 states/eV/f.u.; calculated formation energy = 0.8204 eV per atom; V = 103.25 Å³/cell; space-group type = P4/mmm
1.0
4.760 0.000 0.000
0.000 4.760 0.000
0.000 0.000 4.556
Zn Ni As Pt
1 2 1 1
Cartesian
0.000 0.000 0.000
0.000 2.380 2.278
2.380 0.000 2.278
2.380 2.380 0.000
2.380 2.380 2.278



Entry 6:
La2MnHg | the Alexandria database | PBE | relaxed; crystal system = tetragonal; Fermi-level density of states = 5.0 states/eV/f.u.; calculated formation energy = -0.0860 eV per atom; V = 112.02 Å³/cell; space-group type = P4/mmm
1.0
3.755 0.000 0.000
0.000 3.755 0.000
0.000 0.000 7.943
La Mn Hg
2 1 1
Cartesian
0.000 0.000 1.855
0.000 0.000 6.088
1.878 1.878 0.000
1.878 1.878 3.971